The following is a DFT calculation (PBE-GGA) of a relaxed structure of GdZn2Ga2.

Lattice parameters (Å, degrees): 4.1804 4.1804 10.7515 90.00 90.00 90.00
Fractional coordinates of all 10 atoms:
Gd (0.0000, 0.0000, 0.0000)
Gd (0.5000, 0.5000, 0.5000)
Zn (0.0000, 0.0000, 0.3887)
Zn (0.0000, 0.0000, 0.6113)
Zn (0.5000, 0.5000, 0.1113)
Zn (0.5000, 0.5000, 0.8887)
Ga (0.0000, 0.5000, 0.2500)
Ga (0.0000, 0.5000, 0.7500)
Ga (0.5000, 0.0000, 0.2500)
Ga (0.5000, 0.0000, 0.7500)

Calculated values
total DFT energy (no corrections) = -49.59 eV per cell
theoretical density = 7.56 g/cm³
DOS at the Fermi energy = 1.79 states/eV/f.u.